[1]
## NaZn2Ga2 (meta-GGA SCAN)

Data for NaZn2Ga2 at its PBEsol-relaxed geometry.

a b c (Å): 6.3129 6.3129 6.3129
angles (deg): 142.71 142.71 53.76
With the nearest neighbours (Å) after each atom.
Fractional positions:
Na  0.0000  0.0000  0.0000  8 Ga 3.11, 8 Zn 3.46
Zn  0.2500  0.7500  0.5000  4 Ga 2.56, 4 Zn 2.85
Zn  0.7500  0.2500  0.5000  4 Ga 2.56, 4 Zn 2.85
Ga  0.3900  0.3900  0.0000  1 Ga 2.48, 4 Zn 2.56
Ga  0.6100  0.6100  0.0000  1 Ga 2.48, 4 Zn 2.56

Output
energy above the most stable polymorph in this dataset	0.00	eV/f.u.
space-group type	I4/mmm (139)
density of states at the Fermi level	2.06	states/eV/f.u.
calculated formation energy	-0.56	eV per formula unit
raw total energy	-12.90	eV/atom

***

[2]
## NaZn2Ga2 (meta-GGA SCAN)

Data for NaZn2Ga2 at its PBEsol-relaxed geometry.

a b c (Å): 7.9325 7.9325 2.7958
angles (deg): 90.00 90.00 90.00
With the nearest neighbours (Å) after each atom.
Fractional positions:
Na  0.0000  0.0000  0.0000  2 Na 2.80, 4 Ga 3.06
Na  0.5000  0.5000  0.0000  2 Na 2.80, 4 Ga 3.06
Zn  0.1531  0.3469  0.5000  6 Ga 2.70-2.72, 2 Zn 2.80
Zn  0.3469  0.8469  0.5000  6 Ga 2.70-2.72, 2 Zn 2.80
Zn  0.6531  0.1531  0.5000  6 Ga 2.70-2.72, 2 Zn 2.80
Zn  0.8469  0.6531  0.5000  6 Ga 2.70-2.72, 2 Zn 2.80
Ga  0.1413  0.6413  0.0000  6 Zn 2.70-2.72, 2 Ga 2.80
Ga  0.3587  0.1413  0.0000  6 Zn 2.70-2.72, 2 Ga 2.80
Ga  0.6413  0.8587  0.0000  6 Zn 2.70-2.72, 2 Ga 2.80
Ga  0.8587  0.3587  0.0000  6 Zn 2.70-2.72, 2 Ga 2.80

Output
energy above the most stable polymorph in this dataset	0.42	eV/f.u.
space-group type	P4/mbm (127)
density of states at the Fermi level	1.75	states/eV/f.u.
calculated formation energy	-0.14	eV per formula unit
raw total energy	-12.82	eV/atom

***

[3]
## Na2Zn2Ga (meta-GGA SCAN)

Data for Na2Zn2Ga at its PBEsol-relaxed geometry.

a b c (Å): 6.5401 6.5401 4.9105
angles (deg): 90.00 90.00 90.00
With the nearest neighbours (Å) after each atom.
Fractional positions:
Na  0.1780  0.3220  0.0000  6 Zn 3.00-3.21, 1 Na 3.29
Na  0.3220  0.8220  0.0000  6 Zn 3.00-3.21, 1 Na 3.29
Na  0.6780  0.1780  0.0000  6 Zn 3.00-3.21, 1 Na 3.29
Na  0.8220  0.6780  0.0000  6 Zn 3.00-3.21, 1 Na 3.29
Zn  0.1351  0.6351  0.5000  1 Zn 2.50, 2 Ga 2.54
Zn  0.3649  0.1351  0.5000  1 Zn 2.50, 2 Ga 2.54
Zn  0.6351  0.8649  0.5000  1 Zn 2.50, 2 Ga 2.54
Zn  0.8649  0.3649  0.5000  1 Zn 2.50, 2 Ga 2.54
Ga  0.0000  0.0000  0.5000  4 Zn 2.54
Ga  0.5000  0.5000  0.5000  4 Zn 2.54

Output
space-group type	P4/mbm (127)
density of states at the Fermi level	1.53	states/eV/f.u.
calculated formation energy	-0.14	eV per formula unit
raw total energy	-10.39	eV/atom

***

- What is the calculated formation energy in the first record?
  -0.56 eV per formula unit